# 1
## RbTcW2Br (meta-GGA SCAN)

Data for RbTcW2Br at its PBEsol-relaxed geometry.

abc: 4.731 4.731 5.425
angles: 90.00 90.00 90.00
Space group P4/mmm (No. 123)
Unique sites:
Rb  0.000  0.000  0.000 x1
Tc  0.500  0.500  0.500 x1
W  0.000  0.500  0.000 x2
Br  0.000  0.000  0.500 x1

Calculated values
E_form (uncorrected), eV/atom: 3.971

***

# 2
## Ca3SiNi (meta-GGA SCAN)

Data for Ca3SiNi at its PBEsol-relaxed geometry.

abc: 5.120 5.120 5.120
angles: 90.00 90.00 90.00
Space group Pm-3m (No. 221)
Unique sites:
Ca  0.000  0.000  0.500 x3
Si  0.500  0.500  0.500 x1
Ni  0.000  0.000  0.000 x1

Calculated values
Energy above the lowest structure with this stoichiometry, eV/atom: 0.000
E_form (uncorrected), eV/atom: 0.104

***

# 3
## Mg2BeNi2 (meta-GGA SCAN)

Data for Mg2BeNi2 at its PBEsol-relaxed geometry.

abc: 3.669 3.669 11.201
angles: 90.00 90.00 90.00
Space group I4/mmm (No. 139)
Unique sites:
Mg  0.000  0.500  0.250 x4
Be  0.000  0.000  0.000 x2
Ni  0.000  0.000  0.404 x4

Calculated values
Energy of formation, meV per atom: 574

***

# 4
## LaTaFe (meta-GGA SCAN)

Data for LaTaFe at its PBEsol-relaxed geometry.

abc: 6.155 6.155 6.155
angles: 90.00 90.00 90.00
Space group F-43m (No. 216)
Unique sites:
La  0.000  0.000  0.000 x4
Ta  0.250  0.250  0.750 x4
Fe  0.250  0.250  0.250 x4

Calculated values
Energy of formation, meV per atom: 1788

***

# 5
## GeRh (meta-GGA SCAN)

Data for GeRh at its PBEsol-relaxed geometry.

abc: 4.832 4.832 4.832
angles: 90.00 90.00 90.00
Space group P2_13 (No. 198)
Unique sites:
Ge  0.161  0.339  0.661 x4
Rh  0.134  0.134  0.134 x4

Calculated values
Energy of formation, meV per atom: -581

***

# 6
## TmAlAu (meta-GGA SCAN)

Data for TmAlAu at its PBEsol-relaxed geometry.

abc: 7.007 4.385 7.655
angles: 90.00 90.00 90.00
Space group Pnma (No. 62)
Unique sites:
Tm  0.009  0.250  0.196 x4
Al  0.172  0.250  0.577 x4
Au  0.216  0.750  0.404 x4

Calculated values
Energy of formation, meV per atom: -1063

***

# 7
## ZrCo2IrPd (meta-GGA SCAN)

Data for ZrCo2IrPd at its PBEsol-relaxed geometry.

abc: 4.333 4.333 4.823
angles: 90.00 90.00 90.00
Space group P4/mmm (No. 123)
Unique sites:
Zr  0.000  0.000  0.000 x1
Co  0.000  0.500  0.500 x2
Ir  0.500  0.500  0.500 x1
Pd  0.500  0.500  0.000 x1

Calculated values
Energy of formation, meV per atom: 856

***

# 8
## Al2O3 (meta-GGA SCAN)

Data for Al2O3 at its PBEsol-relaxed geometry.

abc: 4.8148 4.8148 13.4439
angles: 90.00 90.00 120.00
Space group R-3 (No. 148, hexagonal axes)
Unique sites:
Al  0.0000  0.0000  0.0000 x3
Al  0.0000  0.0000  0.1934 x6
Al  0.0000  0.0000  0.5000 x3
O  0.0127  0.3125  0.0917 x18

Calculated values
E_form (uncorrected), eV/atom: -3.289

***

# 9
## Cr2RuW (meta-GGA SCAN)

Data for Cr2RuW at its PBEsol-relaxed geometry.

abc: 8.823 2.686 4.545
angles: 90.00 101.66 90.00
Space group C2/m (No. 12)
Unique sites:
Cr  0.241  0.000  0.235 x4
Ru  0.000  0.500  0.000 x2
W  0.000  0.000  0.500 x2

Calculated values
Energy of formation, meV per atom: 312
Energy above the lowest structure with this stoichiometry, eV/atom: 0.276

***

# 10
## TaO2 (meta-GGA SCAN)

Data for TaO2 at its PBEsol-relaxed geometry.

abc: 13.628 13.628 5.993
angles: 90.00 90.00 90.00
Space group I4_1/a (No. 88, origin choice 2)
Unique sites:
Ta  0.112  0.120  0.475 x16
Ta  0.124  0.380  0.225 x16
O  0.014  0.371  0.974 x16
O  0.030  0.378  0.512 x16
O  0.124  0.024  0.753 x16
O  0.127  0.012  0.249 x16

Calculated values
E_form (uncorrected), eV/atom: -2.799

***

# 11
## NbRh2 (meta-GGA SCAN)

Data for NbRh2 at its PBEsol-relaxed geometry.

abc: 4.759 2.793 6.890
angles: 90.00 104.55 90.00
Space group Pm (No. 6)
Unique sites:
Nb  0.000  0.000  0.000 x1
Nb  0.249  0.000  0.640 x1
Rh  0.308  0.500  0.319 x1
Rh  0.505  0.500  0.982 x1
Rh  0.757  0.500  0.654 x1
Rh  0.793  0.000  0.322 x1

Calculated values
Energy of formation, meV per atom: -418

***

# 12
## Na3NbO4 (meta-GGA SCAN)

Data for Na3NbO4 at its PBEsol-relaxed geometry.

abc: 11.125 13.010 5.747
angles: 90.00 109.34 90.00
Space group C2/m (No. 12)
Unique sites:
Na  0.000  0.000  0.000 x2
Na  0.000  0.124  0.500 x4
Na  0.000  0.241  0.000 x4
Na  0.000  0.500  0.000 x2
Na  0.246  0.374  0.020 x8
Na  0.250  0.250  0.500 x4
Nb  0.000  0.367  0.500 x4
Nb  0.239  0.000  0.470 x4
O  0.105  0.271  0.728 x8
O  0.112  0.500  0.698 x4
O  0.120  0.389  0.308 x8
O  0.145  0.109  0.267 x8
O  0.154  0.000  0.709 x4

Calculated values
E_form (uncorrected), eV/atom: -2.381